Record 1
Here is a relaxed SrZnCl2 crystal from the Alexandria database. Energies are from GGA-PBEsol.

## Properties
Calculated volume in A^3/atom: 27.7
Final energy in eV/atom: -3.2307
D(E_F) in states/eV/atom: 0.00
Raw formation energy in eV per atom: -1.37

Unit cell a=3.628 b=3.628 c=8.422 alpha=90.00 beta=90.00 gamma=90.00
Space group P4/mmm (No. 123)
Inequivalent atoms, fractional coordinates:
Sr (0.000, 0.000, 0.000)
Zn (0.000, 0.000, 0.500)
Cl (0.500, 0.500, 0.187)

Record 2
Here is a relaxed SrZnCl2 crystal from the Alexandria database. Energies are from GGA-PBEsol.

## Properties
Calculated volume in A^3/atom: 23.6
Final energy in eV/atom: -3.2708
D(E_F) in states/eV/atom: 0.00
Raw formation energy in eV per atom: -1.41

Unit cell a=7.230 b=7.230 c=7.230 alpha=90.00 beta=90.00 gamma=90.00
Space group Fm-3m (No. 225)
Inequivalent atoms, fractional coordinates:
Sr (0.000, 0.000, 0.000)
Zn (0.000, 0.000, 0.500)
Cl (0.250, 0.250, 0.250)

Record 3
Here is a relaxed SrZnCl2 crystal from the Alexandria database. Energies are from GGA-PBEsol.

## Properties
Calculated volume in A^3/atom: 23.5
Final energy in eV/atom: -3.1597
Raw formation energy in eV per atom: -1.30

Unit cell a=4.313 b=4.313 c=10.114 alpha=90.00 beta=90.00 gamma=90.00
Space group I-4m2 (No. 119)
Inequivalent atoms, fractional coordinates:
Sr (0.000, 0.000, 0.000)
Zn (0.000, 0.500, 0.250)
Cl (0.000, 0.000, 0.500)
Cl (0.000, 0.500, 0.750)

Record 4
Here is a relaxed SrZnCl2 crystal from the Alexandria database. Energies are from GGA-PBEsol.

## Properties
Calculated volume in A^3/atom: 29.8
Final energy in eV/atom: -3.1151
D(E_F) in states/eV/atom: 0.00
Raw formation energy in eV per atom: -1.26

Unit cell a=4.3726 b=4.3726 c=21.5769 alpha=90.00 beta=90.00 gamma=120.00
Space group R3m (No. 160, hexagonal axes)
Inequivalent atoms, fractional coordinates:
Sr (0.0000, 0.0000, 0.0000)
Zn (0.0000, 0.0000, 0.2431)
Cl (0.0000, 0.0000, 0.5317)
Cl (0.0000, 0.0000, 0.7270)

Record 5
Here is a relaxed SrZnCl4 crystal from the Alexandria database. Energies are from GGA-PBEsol.

## Properties
Calculated volume in A^3/atom: 24.6
Final energy in eV/atom: -3.7077
D(E_F) in states/eV/atom: 0.00
Raw formation energy in eV per atom: -1.80

Unit cell a=6.432 b=6.432 c=14.290 alpha=90.00 beta=90.00 gamma=90.00
Space group I4_1/a (No. 88, origin choice 2)
Inequivalent atoms, fractional coordinates:
Sr (0.000, 0.250, 0.125)
Zn (0.000, 0.250, 0.625)
Cl (0.157, 0.492, 0.292)

Record 6
Here is a relaxed SrZnCl2 crystal from the Alexandria database. Energies are from GGA-PBEsol.

## Properties
Calculated volume in A^3/atom: 35.1
Final energy in eV/atom: -3.3135
D(E_F) in states/eV/atom: 0.00
Raw formation energy in eV per atom: -1.45

Unit cell a=7.550 b=4.361 c=8.884 alpha=90.00 beta=106.08 gamma=90.00
Space group C2/m (No. 12)
Inequivalent atoms, fractional coordinates:
Sr (0.000, 0.000, 0.000)
Zn (0.000, 0.500, 0.500)
Cl (0.220, 0.500, 0.163)

Record 7
Here is a relaxed SrZr2Cl crystal from the Alexandria database. Energies are from GGA-PBEsol.

## Properties
Calculated volume in A^3/atom: 24.8
Final energy in eV/atom: -5.0589
D(E_F) in states/eV/atom: 1.43
Raw formation energy in eV per atom: 0.45

Unit cell a=7.350 b=7.350 c=7.350 alpha=90.00 beta=90.00 gamma=90.00
Space group F-43m (No. 216)
Inequivalent atoms, fractional coordinates:
Sr (0.000, 0.000, 0.000)
Zr (0.000, 0.000, 0.500)
Zr (0.250, 0.250, 0.750)
Cl (0.250, 0.250, 0.250)

Record 8
Here is a relaxed SrZr2Cl crystal from the Alexandria database. Energies are from GGA-PBEsol.

## Properties
Calculated volume in A^3/atom: 23.6
Final energy in eV/atom: -5.5491
D(E_F) in states/eV/atom: 1.34
Raw formation energy in eV per atom: -0.04

Unit cell a=3.2701 b=3.2701 c=30.6047 alpha=90.00 beta=90.00 gamma=120.00
Space group R-3m (No. 166, hexagonal axes)
Inequivalent atoms, fractional coordinates:
Sr (0.0000, 0.0000, 0.0000)
Zr (0.0000, 0.0000, 0.2342)
Cl (0.0000, 0.0000, 0.5000)